Material: Tl2AgTe
Method: DFT, PBE
State: relaxed

Lattice parameters (Å, degrees): 7.662 7.662 7.662 90.00 90.00 90.00
Space group F-43m (No. 216)
Asymmetric unit:
Tl 0.000 0.000 0.000 (multiplicity 4)
Tl 0.250 0.250 0.250 (multiplicity 4)
Ag 0.250 0.250 0.750 (multiplicity 4)
Te 0.000 0.000 0.500 (multiplicity 4)

Summary:
Electronic total energy   -2.6208 eV/atom
Offset from the most stable computed form   10 meV/atom

Material: TmAgTe
Method: DFT, PBE
State: relaxed

Lattice parameters (Å, degrees): 6.880 6.880 6.880 90.00 90.00 90.00
Space group F-43m (No. 216)
Asymmetric unit:
Tm 0.000 0.000 0.000 (multiplicity 4)
Ag 0.250 0.250 0.750 (multiplicity 4)
Te 0.000 0.000 0.500 (multiplicity 4)

Summary:
Electronic total energy   -3.7426 eV/atom
Offset from the most stable computed form   264 meV/atom

Material: Tm6AgTe2
Method: DFT, PBE
State: relaxed

Lattice parameters (Å, degrees): 8.3705 8.3705 3.9181 90.00 90.00 120.00
Space group P-62m (No. 189)
Asymmetric unit:
Tm 0.0000 0.4011 0.0000 (multiplicity 3)
Tm 0.0000 0.7447 0.5000 (multiplicity 3)
Ag 0.0000 0.0000 0.0000 (multiplicity 1)
Te 0.3333 0.6667 0.5000 (multiplicity 2)

Summary:
Electronic total energy   -4.5995 eV/atom

Material: Tm2AgTe3
Method: DFT, PBE
State: relaxed

Lattice parameters (Å, degrees): 10.863 4.116 14.623 90.00 90.00 90.00
Space group Pnma (No. 62)
Asymmetric unit:
Tm 0.015 0.250 0.248 (multiplicity 4)
Tm 0.230 0.750 0.528 (multiplicity 4)
Ag 0.237 0.250 0.727 (multiplicity 4)
Te 0.039 0.250 0.601 (multiplicity 4)
Te 0.074 0.750 0.098 (multiplicity 4)
Te 0.237 0.750 0.863 (multiplicity 4)

Summary:
Electronic total energy   -4.4692 eV/atom

Material: TmAgTe2
Method: DFT, PBE
State: relaxed

Lattice parameters (Å, degrees): 6.665 6.665 13.226 90.00 90.00 90.00
Space group I-42d (No. 122)
Asymmetric unit:
Tm 0.000 0.000 0.000 (multiplicity 4)
Ag 0.000 0.000 0.500 (multiplicity 4)
Te 0.239 0.750 0.625 (multiplicity 8)

Summary:
Electronic total energy   -4.1200 eV/atom

Material: TmAgTe
Method: DFT, PBE
State: relaxed

Lattice parameters (Å, degrees): 7.017 7.017 7.017 90.00 90.00 90.00
Space group F-43m (No. 216)
Asymmetric unit:
Tm 0.000 0.000 0.000 (multiplicity 4)
Ag 0.250 0.250 0.750 (multiplicity 4)
Te 0.250 0.250 0.250 (multiplicity 4)

Summary:
Electronic total energy   -4.0065 eV/atom
Offset from the most stable computed form   0 meV/atom

Material: UAgTe
Method: DFT, PBE
State: relaxed

Lattice parameters (Å, degrees): 6.881 6.881 6.881 90.00 90.00 90.00
Space group F-43m (No. 216)
Asymmetric unit:
U 0.000 0.000 0.000 (multiplicity 4)
Ag 0.250 0.250 0.750 (multiplicity 4)
Te 0.000 0.000 0.500 (multiplicity 4)

Summary:
Electronic total energy   -5.4499 eV/atom
Offset from the most stable computed form   196 meV/atom

Material: UAgTe
Method: DFT, PBE
State: relaxed

Lattice parameters (Å, degrees): 7.098 7.098 7.098 90.00 90.00 90.00
Space group F-43m (No. 216)
Asymmetric unit:
U 0.000 0.000 0.000 (multiplicity 4)
Ag 0.250 0.250 0.750 (multiplicity 4)
Te 0.250 0.250 0.250 (multiplicity 4)

Summary:
Electronic total energy   -5.6457 eV/atom
Offset from the most stable computed form   0 meV/atom

Material: AgTeW
Method: DFT, PBE
State: relaxed

Lattice parameters (Å, degrees): 6.413 6.413 6.413 90.00 90.00 90.00
Space group F-43m (No. 216)
Asymmetric unit:
Ag 0.000 0.000 0.000 (multiplicity 4)
Te 0.000 0.000 0.500 (multiplicity 4)
W 0.250 0.250 0.250 (multiplicity 4)

Summary:
Electronic total energy   -5.4392 eV/atom
Offset from the most stable computed form   0 meV/atom

Material: AgTe2W
Method: DFT, PBE
State: relaxed

Lattice parameters (Å, degrees): 7.003 7.003 7.003 90.00 90.00 90.00
Space group F-43m (No. 216)
Asymmetric unit:
Ag 0.000 0.000 0.000 (multiplicity 4)
Te 0.000 0.000 0.500 (multiplicity 4)
Te 0.250 0.250 0.250 (multiplicity 4)
W 0.250 0.250 0.750 (multiplicity 4)

Summary:
Electronic total energy   -4.3736 eV/atom

Material: AgTeW2
Method: DFT, PBE
State: relaxed

Lattice parameters (Å, degrees): 6.632 6.632 6.632 90.00 90.00 90.00
Space group F-43m (No. 216)
Asymmetric unit:
Ag 0.000 0.000 0.000 (multiplicity 4)
Te 0.250 0.250 0.750 (multiplicity 4)
W 0.000 0.000 0.500 (multiplicity 4)
W 0.250 0.250 0.250 (multiplicity 4)

Summary:
Electronic total energy   -7.0044 eV/atom

Material: Ag5Te3W
Method: DFT, PBE
State: relaxed

Lattice parameters (Å, degrees): 6.308 6.349 6.337 90.00 90.18 90.00
Space group P2 (No. 3)
Asymmetric unit:
Ag 0.000 0.000 0.000 (multiplicity 1)
Ag 0.256 0.270 0.260 (multiplicity 2)
Ag 0.267 0.747 0.737 (multiplicity 2)
Te 0.000 0.007 0.500 (multiplicity 1)
Te 0.000 0.514 0.000 (multiplicity 1)
Te 0.500 0.014 0.000 (multiplicity 1)
W 0.500 0.502 0.500 (multiplicity 1)

Summary:
Electronic total energy   -3.3249 eV/atom

> Which of these has the highest electronic total energy?

Tl2AgTe

> Which of these has the lowest electronic total energy?

AgTeW2